1.
Here is KSr5 after structural relaxation from the Alexandria database. Energies are from PBE.

The density is 2.3 g/cm³. The formation energy is 0.046 eV/atom. As for the energy above the most stable polymorph in this dataset: 10 meV/atom.

It has space group Cm (No. 8), with a = 16.039 Å, b = 4.274 Å, c = 10.352 Å, α = 90.00°, β = 104.96° and γ = 90.00°. The asymmetric unit holds K at (0.000, 0.000, 0.000), Sr at (0.058, 0.000, 0.612), Sr at (0.169, 0.500, 0.337), Sr at (0.226, 0.500, 0.947), Sr at (0.330, 0.000, 0.660) and Sr at (0.389, 0.000, 0.287).


2.
Here is K4Sr after structural relaxation from the Alexandria database. Energies are from PBE.

The density is 0.9 g/cm³. The formation energy is 0.279 eV/atom. As for the energy above the most stable polymorph in this dataset: 229 meV/atom.

It has space group Im-3m (No. 229), with a = 9.775 Å, b = 9.775 Å, c = 9.775 Å, α = 90.00°, β = 90.00° and γ = 90.00°. The asymmetric unit holds K at (0.250, 0.250, 0.250) and Sr at (0.000, 0.000, 0.000).


3.
Here is K4Sr5 after structural relaxation from the Alexandria database. Energies are from PBE.

The density is 1.8 g/cm³. The formation energy is 0.131 eV/atom. As for the energy above the most stable polymorph in this dataset: 44 meV/atom.

It has space group P6_3/mcm (No. 193), with a = 12.4078 Å, b = 12.4078 Å, c = 8.2959 Å, α = 90.00°, β = 90.00° and γ = 120.00°. The asymmetric unit holds K at (0.0000, 0.0000, 0.0000), K at (0.0000, 0.2963, 0.2500), Sr at (0.0000, 0.3815, 0.7500) and Sr at (0.3333, 0.6667, 0.0000).


4.
Here is K5Sr after structural relaxation from the Alexandria database. Energies are from PBE.

The density is 1.1 g/cm³. The formation energy is 0.048 eV/atom. As for the energy above the most stable polymorph in this dataset: 0 meV/atom.

It has space group P4/mmm (No. 123), with a = 4.469 Å, b = 4.469 Å, c = 20.519 Å, α = 90.00°, β = 90.00° and γ = 90.00°. The asymmetric unit holds K at (0.000, 0.000, 0.000), K at (0.000, 0.000, 0.342), K at (0.500, 0.500, 0.171) and Sr at (0.500, 0.500, 0.500).


5.
Here is K5Sr after structural relaxation from the Alexandria database. Energies are from PBE.

The density is 1.1 g/cm³. The formation energy is 0.073 eV/atom. As for the energy above the most stable polymorph in this dataset: 24 meV/atom.

It has space group Cmmm (No. 65), with a = 6.147 Å, b = 19.639 Å, c = 6.846 Å, α = 90.00°, β = 90.00° and γ = 90.00°. The asymmetric unit holds K at (0.000, 0.000, 0.000), K at (0.000, 0.166, 0.500), K at (0.000, 0.337, 0.000) and Sr at (0.000, 0.500, 0.500).


6.
Here is K4Sr after structural relaxation from the Alexandria database. Energies are from PBE.

The density is 0.8 g/cm³. The formation energy is 0.354 eV/atom. As for the energy above the most stable polymorph in this dataset: 305 meV/atom.

It has space group Pm-3m (No. 221), with a = 7.868 Å, b = 7.868 Å, c = 7.868 Å, α = 90.00°, β = 90.00° and γ = 90.00°. The asymmetric unit holds K at (0.000, 0.000, 0.000), K at (0.000, 0.500, 0.500) and Sr at (0.500, 0.500, 0.500).